[1]
## Ho6Al2Ru (PBE)

Data for an optimized crystal structure of Ho6Al2Ru.

```
Ho6Al2Ru
1.0
-2.502 3.516 7.288
2.502 -3.516 7.288
2.502 3.516 -7.288
Ho Al Ru
6 2 1
direct
0.087 0.343 0.744
0.234 0.000 0.234
0.401 0.657 0.744
0.599 0.343 0.256
0.766 0.000 0.766
0.913 0.657 0.256
0.332 0.832 0.500
0.668 0.168 0.500
0.000 0.500 0.500
```

Summary:
Its formation energy is -0.1169 eV/atom. The uncorrected energy is -45.279 eV per formula unit. The magnetization is 0.000 μB/atom.

[2]
## Ho6AlRu2 (PBE)

Data for an optimized crystal structure of Ho6AlRu2.

```
Ho6AlRu2
1.0
-4.637 4.649 5.208
4.637 -4.649 5.208
4.637 4.649 -5.208
Ho Al Ru
12 2 4
direct
0.044 0.242 0.802
0.181 0.285 0.467
0.181 0.715 0.896
0.331 0.019 0.688
0.331 0.643 0.312
0.440 0.242 0.198
0.560 0.758 0.802
0.669 0.357 0.688
0.669 0.981 0.312
0.819 0.285 0.104
0.819 0.715 0.533
0.956 0.758 0.198
0.000 0.000 0.000
0.500 0.500 0.000
0.130 0.630 0.500
0.315 0.000 0.315
0.685 0.000 0.685
0.870 0.370 0.500
```

Summary:
Its formation energy is -0.3676 eV/atom. The uncorrected energy is -53.070 eV per formula unit. The magnetization is 0.000 μB/atom.